Record 1
The following is a GGA-PBE calculation of NdSm2Eu after structural relaxation, from Alexandria via LeMat-Bulk.

a b c (Å): 3.698 3.698 10.476
angles (deg): 90.00 90.00 90.00
Atoms (fractional coordinates):
Nd 0.000 0.000 0.000
Sm 0.500 0.500 0.238
Sm 0.500 0.500 0.762
Eu 0.000 0.000 0.500

SG	P4/mmm, No. 123
electronic total energy	-6.0751	eV per atom
energy relative to the elements	0.04	eV/atom
energy above the most stable polymorph in this dataset	0	kJ/mol of formula units

=====

Record 2
The following is a GGA-PBE calculation of NdSm2Eu after structural relaxation, from Alexandria via LeMat-Bulk.

a b c (Å): 12.972 12.972 12.972
angles (deg): 16.01 16.01 16.01
Atoms (fractional coordinates):
Nd 0.000 0.000 0.000
Sm 0.410 0.410 0.410
Sm 0.590 0.590 0.590
Eu 0.500 0.500 0.500

SG	R-3m, No. 166
electronic total energy	-5.9747	eV per atom
energy relative to the elements	0.15	eV/atom
energy above the most stable polymorph in this dataset	39	kJ/mol of formula units

=====

Record 3
The following is a GGA-PBE calculation of NdSm2Eu after structural relaxation, from Alexandria via LeMat-Bulk.

a b c (Å): 5.207 5.207 5.217
angles (deg): 90.00 90.00 90.00
Atoms (fractional coordinates):
Nd 0.000 0.000 0.000
Sm 0.000 0.500 0.500
Sm 0.500 0.000 0.500
Eu 0.500 0.500 0.000

SG	P4/mmm, No. 123
electronic total energy	-6.0529	eV per atom
energy relative to the elements	0.07	eV/atom
energy above the most stable polymorph in this dataset	9	kJ/mol of formula units